[1]
Crystalline Tb3Pr2Tm6Pu at its relaxed geometry, computed with GGA-PBE.

## Properties
Space-group type: C2/m
D(E_F), states/eV/atom: 1.93
Formation enthalpy at 0 K, eV/atom: 0.049

```
Tb3Pr2Tm6Pu
1.0
3.066 -5.314 0.000
3.066 5.314 0.000
-2.051 0.000 11.448
Tb Pr Tm Pu
3 2 6 1
direct
0.000 0.000 0.000
0.333 0.667 0.000
0.667 0.333 0.000
0.167 0.833 0.500
0.833 0.167 0.500
0.088 0.417 0.249
0.255 0.255 0.751
0.417 0.088 0.249
0.583 0.912 0.751
0.745 0.745 0.249
0.912 0.583 0.751
0.500 0.500 0.500
```

=====

[2]
Crystalline OsSe at its relaxed geometry, computed with GGA-PBE.

## Properties
Space-group type: I4/m
D(E_F), states/eV/atom: 0.56
Raw formation energy, meV/atom: 529

```
OsSe
1.0
10.064 0.000 0.000
0.000 10.064 0.000
0.000 0.000 3.846
Os Se
8 8
direct
0.169 0.282 0.000
0.218 0.669 0.500
0.282 0.831 0.000
0.331 0.218 0.500
0.669 0.782 0.500
0.718 0.169 0.000
0.782 0.331 0.500
0.831 0.718 0.000
0.071 0.705 0.000
0.205 0.429 0.500
0.295 0.071 0.000
0.429 0.795 0.500
0.571 0.205 0.500
0.705 0.929 0.000
0.795 0.571 0.500
0.929 0.295 0.000
```

=====

[3]
Crystalline K3Nd2HfO6 at its relaxed geometry, computed with GGA-PBE.

## Properties
Space-group type: C2/m
D(E_F), states/eV/atom: 0.35
Raw formation energy, meV/atom: -2546

```
K3Nd2HfO6
1.0
3.051 -5.291 0.000
3.051 5.291 0.000
-2.030 0.000 6.308
K Nd Hf O
3 2 1 6
direct
0.000 0.000 0.000
0.337 0.663 0.000
0.663 0.337 0.000
0.167 0.833 0.500
0.833 0.167 0.500
0.500 0.500 0.500
0.141 0.438 0.317
0.264 0.264 0.683
0.438 0.141 0.317
0.562 0.859 0.683
0.736 0.736 0.317
0.859 0.562 0.683
```